A plane-wave DFT calculation with PBE-GGA was carried out for Pm3PrO after structural relaxation.

- Symmetry: Pm-3m
- DFT total energy: -5.875 eV per atom
- Total magnetization: 0.00 μB/f.u.
- Energy relative to the elements, uncorrected: -5.38 eV/f.u.

a = 5.099 Å, b = 5.099 Å, c = 5.099 Å
α = 90.00°, β = 90.00°, γ = 90.00°
Fractional coordinates of all 5 atoms:
Pr1 0.500 0.500 0.500
O1 0.000 0.000 0.000
Pm1 0.000 0.500 0.000
Pm2 0.000 0.000 0.500
Pm3 0.500 0.000 0.000